Density functional theory data (PBE with a Hubbard U) for an optimized crystal structure of MnAgO2F.

Summary:
**Calculated density**: 5.15 Mg/m³
**Magnetic moment**: 1.00 μB/atom
**Fermi-level density of states**: 2.15 states/eV per cell
**Calculated total energy**: -0.176 hartree per atom

Cell lengths 4.087, 4.087, 4.132 Å; angles 90.00, 90.00, 90.00 degrees
Fractional coordinates of all 5 atoms:
Mn 0.000 0.000 0.000
Ag 0.500 0.500 0.500
O 0.000 0.500 0.500
O 0.500 0.000 0.500
F 0.500 0.500 0.000